Density functional theory data (PBE) for a relaxed structure of CeThZrZn.

```
CeThZrZn
1.0
0.000 3.703 3.703
3.703 0.000 3.703
3.703 3.703 0.000
Ce Th Zr Zn
1 1 1 1
Direct
0.000 0.000 0.000 Ce
0.500 0.500 0.500 Th
0.750 0.750 0.750 Zr
0.250 0.250 0.250 Zn
```

E_form, meV/atom: 87.7
Volume, Å³ per atom: 25.395
Symmetry: No. 216

=====

Density functional theory data (PBE) for a relaxed structure of Ce12Th3Zr.

```
Ce12Th3Zr
1.0
4.778 0.000 0.000
0.000 4.778 0.000
0.000 0.000 19.224
Ce Th Zr
12 3 1
Direct
0.000 0.000 0.000 Ce
0.000 0.000 0.249 Ce
0.000 0.000 0.500 Ce
0.000 0.000 0.751 Ce
0.000 0.500 0.122 Ce
0.000 0.500 0.374 Ce
0.000 0.500 0.626 Ce
0.000 0.500 0.878 Ce
0.500 0.000 0.122 Ce
0.500 0.000 0.374 Ce
0.500 0.000 0.626 Ce
0.500 0.000 0.878 Ce
0.500 0.500 0.247 Th
0.500 0.500 0.500 Th
0.500 0.500 0.753 Th
0.500 0.500 0.000 Zr
```

E_form, meV/atom: 31.4
Volume, Å³ per atom: 27.428
Symmetry: No. 123